{"formula": "K5Tl4In2", "functional": "PBE", "state": "relaxed", "energy_ev_per_atom": -1.93, "ef_mev_per_atom": -72, "crystal_system": "monoclinic", "space_group": "C2/m (12)", "dos_ef_per_ev_cell": 5.0, "cell": [[-1.801, 1.532, 4.530], [-0.714, -7.545, 2.268], [11.483, 2.647, 0.788]], "species": ["K", "K", "K", "K", "K", "Tl", "Tl", "Tl", "Tl", "In", "In"], "frac_coords": [[0.186, 0.796, 0.372], [0.814, 0.204, 0.628], [0.126, 0.231, 0.251], [0.500, 0.000, 0.000], [0.874, 0.769, 0.749], [0.711, 0.506, 0.423], [0.026, 0.710, 0.051], [0.289, 0.494, 0.577], [0.974, 0.290, 0.949], [0.570, 0.511, 0.141], [0.430, 0.489, 0.859]]}

***

{"formula": "NiPW2", "functional": "PBE", "state": "relaxed", "energy_ev_per_atom": -9.16, "ef_mev_per_atom": 110, "crystal_system": "monoclinic", "space_group": "P2/m (10)", "dos_ef_per_ev_cell": 2.3, "cell": [[-1.545, -3.343, 0.782], [1.272, -0.004, 2.494], [-3.588, 2.428, 3.291]], "species": ["Ni", "P", "W", "W"], "frac_coords": [[0.500, 0.500, 0.000], [0.500, 0.500, 0.500], [0.000, 0.069, 0.745], [0.000, 0.931, 0.255]]}

***

{"formula": "CrTc2W", "functional": "PBE", "state": "relaxed", "energy_ev_per_atom": -10.68, "ef_mev_per_atom": 148, "crystal_system": "cubic", "space_group": "F-43m (216)", "dos_ef_per_ev_cell": 5.0, "cell": [[-2.220, 0.589, -3.676], [-2.005, -3.351, -1.881], [-4.328, -0.226, 0.022]], "species": ["Cr", "Tc", "Tc", "W"], "frac_coords": [[0.500, 0.500, 0.500], [0.000, 0.000, 0.000], [0.250, 0.250, 0.250], [0.750, 0.750, 0.750]]}

***

{"formula": "Pm5Ag4Ru", "functional": "PBE", "state": "relaxed", "energy_ev_per_atom": -4.70, "ef_mev_per_atom": -261, "crystal_system": "tetragonal", "space_group": "P4/mmm (123)", "dos_ef_per_ev_cell": 7.6, "cell": [[-3.460, 1.031, 0.110], [-0.495, -1.980, 2.981], [4.818, 15.024, 10.778]], "species": ["Pm", "Pm", "Pm", "Pm", "Pm", "Ag", "Ag", "Ag", "Ag", "Ru"], "frac_coords": [[0.500, 0.500, 0.089], [0.500, 0.500, 0.296], [0.500, 0.500, 0.500], [0.500, 0.500, 0.704], [0.500, 0.500, 0.911], [0.000, 0.000, 0.195], [0.000, 0.000, 0.398], [0.000, 0.000, 0.602], [0.000, 0.000, 0.805], [0.000, 0.000, 0.000]]}

***

{"formula": "Cs2Tm3Te6", "functional": "PBE", "state": "relaxed", "energy_ev_per_atom": -4.37, "crystal_system": "monoclinic", "space_group": "C2/m (12)", "dos_ef_per_ev_cell": 4.9, "formation_energy_uncorrected_kcal_per_mol_atoms": -29.6, "cell": [[-7.471, 0.322, -0.575], [-4.229, -5.423, 2.994], [-2.908, 4.862, 7.836]], "species": ["Cs", "Cs", "Tm", "Tm", "Tm", "Te", "Te", "Te", "Te", "Te", "Te"], "frac_coords": [[0.166, 0.667, 0.500], [0.834, 0.333, 0.500], [0.000, 0.000, 0.000], [0.332, 0.335, 0.000], [0.668, 0.665, 0.000], [0.396, 0.669, 0.811], [0.727, 0.000, 0.812], [0.066, 0.331, 0.811], [0.273, 0.000, 0.188], [0.604, 0.331, 0.189], [0.934, 0.669, 0.189]]}

***

{"formula": "GdMg2Cd", "functional": "PBE", "state": "relaxed", "energy_ev_per_atom": -4.71, "ef_mev_per_atom": -160, "crystal_system": "tetragonal", "space_group": "P4/mmm (123)", "dos_ef_per_ev_cell": 3.7, "cell": [[-0.475, 3.002, 3.803], [-3.817, 1.669, -1.794], [-2.410, -3.156, 2.191]], "species": ["Mg", "Mg", "Gd", "Cd"], "frac_coords": [[0.000, 0.000, 0.500], [0.000, 0.500, 0.000], [0.500, 0.500, 0.500], [0.500, 0.000, 0.000]]}

***

{"formula": "Zr2TaCoRe", "functional": "PBE", "state": "relaxed", "energy_ev_per_atom": -8.16, "ef_mev_per_atom": 1545, "crystal_system": "tetragonal", "space_group": "P4/mmm (123)", "dos_ef_per_ev_cell": 4.2, "cell": [[-2.743, 1.736, -3.873], [-2.247, -3.578, -0.012], [-3.285, 2.052, 3.247]], "species": ["Re", "Co", "Zr", "Zr", "Ta"], "frac_coords": [[0.500, 0.500, 0.500], [0.000, 0.500, 0.000], [0.000, 0.000, 0.500], [0.500, 0.000, 0.000], [0.000, 0.000, 0.000]]}

***

{"formula": "Li4PmGe2", "functional": "PBE", "state": "relaxed", "energy_ev_per_atom": -3.56, "ef_mev_per_atom": -470, "crystal_system": "tetragonal", "space_group": "P4_2/mnm (136)", "dos_ef_per_ev_cell": 5.8, "cell": [[-2.746, 0.423, -3.397], [-5.439, -3.763, 3.928], [-2.535, 6.669, 2.879]], "species": ["Li", "Li", "Li", "Li", "Li", "Li", "Li", "Li", "Pm", "Pm", "Ge", "Ge", "Ge", "Ge"], "frac_coords": [[0.000, 0.102, 0.347], [0.000, 0.898, 0.653], [0.500, 0.153, 0.602], [0.500, 0.847, 0.398], [0.500, 0.398, 0.847], [0.500, 0.602, 0.153], [0.000, 0.347, 0.102], [0.000, 0.653, 0.898], [0.500, 0.000, 0.000], [0.000, 0.500, 0.500], [0.000, 0.211, 0.789], [0.000, 0.789, 0.211], [0.500, 0.711, 0.711], [0.500, 0.289, 0.289]]}